1.
# Ge2SCl

A geometry-optimized Ge2SCl structure (PBE, Alexandria). Values from VASP.

Structure (Quantum ESPRESSO input):
```
&SYSTEM
  ibrav = 0, nat = 8, ntyp = 3
/
ATOMIC_SPECIES
Ge 72.64 Ge.upf
S 32.06 S.upf
Cl 35.45 Cl.upf
CELL_PARAMETERS angstrom
7.310 0.000 0.000
0.000 7.310 0.000
3.655 3.655 3.323
ATOMIC_POSITIONS crystal
Ge 0.594 0.125 0.250
Ge 0.156 0.625 0.250
Ge 0.375 0.406 0.750
Ge 0.875 0.844 0.750
S 0.500 0.500 0.000
S 0.250 0.750 0.500
Cl 0.000 0.000 0.000
Cl 0.750 0.250 0.500
```

Properties
formation energy from raw total energies: -67 meV per atom

=====

2.
# Ge3S2Cl2

A geometry-optimized Ge3S2Cl2 structure (PBE, Alexandria). Values from VASP.

Structure (Quantum ESPRESSO input):
```
&SYSTEM
  ibrav = 0, nat = 7, ntyp = 3
/
ATOMIC_SPECIES
Ge 72.64 Ge.upf
S 32.06 S.upf
Cl 35.45 Cl.upf
CELL_PARAMETERS angstrom
-0.959 1.603 -3.274
-5.687 -2.217 0.581
0.229 6.058 5.068
ATOMIC_POSITIONS crystal
Ge 0.000 0.000 0.000
Ge 0.746 0.752 0.492
Ge 0.254 0.248 0.508
S 0.842 0.143 0.685
S 0.158 0.857 0.315
Cl 0.582 0.286 0.164
Cl 0.418 0.714 0.836
```

Properties
formation energy from raw total energies: -449 meV per atom

=====

3.
# Ge2S2Cl

A geometry-optimized Ge2S2Cl structure (PBE, Alexandria). Values from VASP.

Structure (Quantum ESPRESSO input):
```
&SYSTEM
  ibrav = 0, nat = 5, ntyp = 3
/
ATOMIC_SPECIES
Ge 72.64 Ge.upf
S 32.06 S.upf
Cl 35.45 Cl.upf
CELL_PARAMETERS angstrom
-3.763 0.126 -2.422
-0.246 -4.061 1.867
-0.734 4.624 5.116
ATOMIC_POSITIONS crystal
Ge 0.508 0.508 0.254
Ge 0.492 0.492 0.746
S 0.251 0.749 0.500
S 0.749 0.251 0.500
Cl 0.000 0.000 0.000
```

Properties
formation energy from raw total energies: -203 meV per atom

=====

4.
# Ge2SCl

A geometry-optimized Ge2SCl structure (PBE, Alexandria). Values from VASP.

Structure (Quantum ESPRESSO input):
```
&SYSTEM
  ibrav = 0, nat = 4, ntyp = 3
/
ATOMIC_SPECIES
Ge 72.64 Ge.upf
S 32.06 S.upf
Cl 35.45 Cl.upf
CELL_PARAMETERS angstrom
1.147 -0.440 4.627
-1.779 3.075 3.210
-3.291 -1.468 3.152
ATOMIC_POSITIONS crystal
Ge 0.250 0.250 0.250
Ge 0.750 0.750 0.750
S 0.000 0.000 0.000
Cl 0.500 0.500 0.500
```

Properties
formation energy from raw total energies: 44 meV per atom

=====

5.
# Ge4S2Cl3

A geometry-optimized Ge4S2Cl3 structure (PBE, Alexandria). Values from VASP.

Structure (Quantum ESPRESSO input):
```
&SYSTEM
  ibrav = 0, nat = 9, ntyp = 3
/
ATOMIC_SPECIES
Ge 72.64 Ge.upf
S 32.06 S.upf
Cl 35.45 Cl.upf
CELL_PARAMETERS angstrom
-1.460 2.889 1.396
-0.440 -4.368 4.129
10.980 4.649 1.867
ATOMIC_POSITIONS crystal
Ge 0.692 0.383 0.070
Ge 0.181 0.362 0.625
Ge 0.819 0.638 0.375
Ge 0.308 0.617 0.930
S 0.282 0.564 0.218
S 0.718 0.436 0.782
Cl 0.374 0.748 0.597
Cl 0.000 0.000 0.000
Cl 0.626 0.252 0.403
```

Properties
formation energy from raw total energies: -308 meV per atom

=====

6.
# Ge3S2Cl2

A geometry-optimized Ge3S2Cl2 structure (PBE, Alexandria). Values from VASP.

Structure (Quantum ESPRESSO input):
```
&SYSTEM
  ibrav = 0, nat = 14, ntyp = 3
/
ATOMIC_SPECIES
Ge 72.64 Ge.upf
S 32.06 S.upf
Cl 35.45 Cl.upf
CELL_PARAMETERS angstrom
-2.770 -6.016 2.976
4.028 0.956 5.682
-6.339 1.017 4.323
ATOMIC_POSITIONS crystal
Ge 0.500 0.500 0.000
Ge 0.000 0.000 0.000
Ge 0.754 0.046 0.680
Ge 0.746 0.546 0.320
Ge 0.254 0.454 0.680
Ge 0.246 0.954 0.320
S 0.609 0.375 0.628
S 0.891 0.875 0.372
S 0.109 0.125 0.628
S 0.391 0.625 0.372
Cl 0.834 0.709 0.898
Cl 0.334 0.791 0.898
Cl 0.666 0.209 0.102
Cl 0.166 0.291 0.102
```

Properties
formation energy from raw total energies: -398 meV per atom